Record 1
A geometry-optimized TbCe2Pm3Sb6 structure. Source: Alexandria via LeMat-Bulk, functional GGA-PBE.

Unit cell a=10.0127 b=10.0127 c=8.9674 alpha=103.02 beta=103.02 gamma=25.84
Atoms (fractional coordinates):
Tb  0.0000  0.0000  0.0000
Ce  0.3342  0.3342  0.6680
Ce  0.6658  0.6658  0.3320
Pm  0.0000  0.0000  0.5000
Pm  0.3332  0.3332  0.1656
Pm  0.6668  0.6668  0.8344
Sb  0.1651  0.1651  0.0836
Sb  0.1672  0.1672  0.5827
Sb  0.5001  0.5001  0.2462
Sb  0.4999  0.4999  0.7538
Sb  0.8328  0.8328  0.4173
Sb  0.8349  0.8349  0.9164

Computed properties:
ΔE_f (raw), eV per formula unit: -13.62
Calculated density, g/cm3: 6.990
E, eV per atom: -5.758
DOS at the Fermi energy, states/eV per atom: 1.2211



Record 2
A geometry-optimized Be2CoPCl structure. Source: Alexandria via LeMat-Bulk, functional GGA-PBE.

Unit cell a=3.8135 b=3.8135 c=7.2813 alpha=90.00 beta=90.00 gamma=90.00
Atoms (fractional coordinates):
Be  0.0000  0.5000  0.0000
Be  0.5000  0.0000  0.0000
Co  0.0000  0.0000  0.5000
P  0.5000  0.5000  0.0000
Cl  0.5000  0.5000  0.5000

Computed properties:
ΔE_f (raw), eV per formula unit: 3.72
Calculated density, g/cm3: 2.249
E, eV per atom: -3.619
DOS at the Fermi energy, states/eV per atom: 1.6327



Record 3
A geometry-optimized BaAs2Rh structure. Source: Alexandria via LeMat-Bulk, functional GGA-PBE.

Unit cell a=4.5458 b=4.3920 c=5.5561 alpha=90.00 beta=101.42 gamma=90.00
Atoms (fractional coordinates):
Ba  0.0000  0.0000  0.0000
As  0.4010  0.0000  0.5736
As  0.6504  0.5000  0.3466
Rh  0.1680  0.5000  0.5215

Computed properties:
Calculated density, g/cm3: 5.957
E, eV per atom: -5.176
Energy relative to the elements, eV per atom: -0.53
DOS at the Fermi energy, states/eV per atom: 0.5036



> Which of these has the lowest DOS at the Fermi energy?

BaAs2Rh



> E of number 2 (Be2CoPCl)?

-3.619 eV per atom